LiTi2VO6: optimized geometry, PBE with a Hubbard U.

For the volume, the calculation gives 223.76 Å³/cell. Its density is 3.7 g/cm³. The final energy is -0.59573 Ry/atom. The calculation puts the energy above the most stable polymorph in this dataset at 22 meV/atom.

The structure belongs to space group C2/m (No. 12); the cell edges are 12.6946, 3.0031 and 6.0026 Å and the angles 90.00°, 102.10° and 90.00°. The distinct sites, in fractional coordinates, are Li at (0.0000, 0.0000, 0.0000), Ti at (0.1826, 0.5000, 0.8001), V at (0.0000, 0.0000, 0.5000), O at (0.0188, 0.5000, 0.7355), O at (0.1695, 0.0000, 0.5995) and O at (0.1714, 0.0000, 0.0375).